Compound: VIrPbO6
Source: Alexandria via LeMat-Bulk
Functional: PBE+U
Structure: optimized geometry

DOS at the Fermi energy = 4.74 states/eV/f.u.
Density = 7.190 Mg/m³
M_tot = 0.736 μB per formula unit
Final energy = -6.64 eV per atom

The structure in extended XYZ format:
```
18
Lattice="-6.840 1.189 -1.138 -1.416 -1.781 6.648 4.735 5.158 -1.323" Properties=species:S:1:pos:R:3 pbc="T T T"
V 2.368 2.579 -0.662
V -1.053 3.173 -1.231
O -0.821 0.591 5.554
O -2.700 3.975 -1.367
O 1.024 2.394 4.948
O -3.672 0.964 1.333
O -4.545 2.171 -0.761
O -1.681 2.865 4.498
O 0.151 3.601 2.854
O -0.830 3.935 0.503
O -5.396 1.101 3.234
O -1.840 1.701 -0.311
O 1.874 3.465 0.953
O -2.691 0.630 3.684
Pb -3.393 3.204 1.993
Pb -0.128 1.362 2.194
Ir -3.420 0.595 -0.569
Ir -4.128 -0.296 2.755
```